{
  "formula": "K2CaFe",
  "functional": "PBE",
  "state": "relaxed",
  "magmom_total_mub_per_atom": 0.711,
  "total_energy_ev_per_atom": -2.326,
  "crystal_system": "monoclinic",
  "space_group": "P2/m",
  "delta_e_f_ev_per_atom": 0.8391,
  "lattice": [[6.4585, 0.0000, 0.0000], [0.0000, 3.9907, -0.0192], [0.0000, 0.9230, 6.0306]],
  "species": ["Ca", "Fe", "K", "K"],
  "fractional_positions": [[0.5000, 0.2500, 0.2500], [0.5000, 0.7500, 0.7500], [0.0000, 0.9616, 0.9780], [0.0000, 0.5384, 0.5220]]
}

---

{
  "formula": "Na3Dy3SnS8",
  "functional": "PBE",
  "state": "relaxed",
  "magmom_total_mub_per_atom": 0.000,
  "total_energy_ev_per_atom": -5.189,
  "crystal_system": "trigonal",
  "space_group": "R-3m",
  "lattice": [[-1.1997, -5.2896, -5.7084], [0.0864, -2.2890, 7.5339], [-6.3241, 4.3677, -2.7182]],
  "species": ["S", "S", "S", "S", "S", "S", "S", "S", "Na", "Na", "Na", "Dy", "Dy", "Dy", "Sn"],
  "fractional_positions": [[0.2587, 0.5173, 0.2761], [0.2435, 0.0120, 0.2805], [0.7684, 0.0120, 0.2805], [0.7565, 0.9880, 0.7195], [0.7684, 0.5368, 0.2805], [0.2316, 0.4632, 0.7195], [0.7413, 0.4827, 0.7239], [0.2316, 0.9880, 0.7195], [0.5000, 0.5000, 0.0000], [0.0000, 0.0000, 0.0000], [0.0000, 0.5000, 0.0000], [0.0000, 0.5000, 0.5000], [0.5000, 0.0000, 0.5000], [0.5000, 0.5000, 0.5000], [0.0000, 0.0000, 0.5000]]
}

---

{
  "formula": "In2FeIr",
  "functional": "PBE",
  "state": "relaxed",
  "magmom_total_mub_per_atom": 0.692,
  "total_energy_ev_per_atom": -5.461,
  "crystal_system": "monoclinic",
  "space_group": "C2/m",
  "delta_e_f_ev_per_atom": 0.2396,
  "lattice": [[4.7088, 0.0288, -0.0376], [3.7061, 2.9049, -0.0376], [0.9873, 0.3442, 5.1511]],
  "species": ["Ir", "In", "In", "Fe"],
  "fractional_positions": [[0.7500, 0.7500, 0.7500], [0.0010, 0.0010, 0.9998], [0.4990, 0.4990, 0.5002], [0.2500, 0.2500, 0.2500]]
}

---

{
  "formula": "Sm6YS8",
  "functional": "PBE",
  "state": "relaxed",
  "magmom_total_mub_per_atom": 0.000,
  "total_energy_ev_per_atom": -6.174,
  "crystal_system": "trigonal",
  "space_group": "R-3",
  "lattice": [[0.0744, 3.2600, 7.3084], [-7.8981, 0.2671, -1.2629], [0.5221, -7.6781, 2.1955]],
  "species": ["S", "S", "S", "S", "S", "S", "S", "S", "Sm", "Sm", "Sm", "Sm", "Sm", "Sm", "Y"],
  "fractional_positions": [[0.7783, 0.7783, 0.7783], [0.1550, 0.6580, 0.4175], [0.4175, 0.1550, 0.6580], [0.6580, 0.4175, 0.1550], [0.8450, 0.3420, 0.5825], [0.5825, 0.8450, 0.3420], [0.3420, 0.5825, 0.8450], [0.2217, 0.2217, 0.2217], [0.4447, 0.8179, 0.6432], [0.8179, 0.6432, 0.4447], [0.3568, 0.5553, 0.1821], [0.5553, 0.1821, 0.3568], [0.6432, 0.4447, 0.8179], [0.1821, 0.3568, 0.5553], [0.0000, 0.0000, 0.0000]]
}

---

{
  "formula": "SrMgZr",
  "functional": "PBE",
  "state": "relaxed",
  "magmom_total_mub_per_atom": 0.000,
  "total_energy_ev_per_atom": -3.686,
  "crystal_system": "orthorhombic",
  "space_group": "Pnma",
  "delta_e_f_ev_per_atom": 0.2556,
  "lattice": [[-4.2444, 0.5415, 7.7350], [2.9280, -0.4283, 1.6367], [1.6734, 11.7934, 0.0926]],
  "species": ["Sr", "Sr", "Sr", "Sr", "Zr", "Zr", "Zr", "Zr", "Mg", "Mg", "Mg", "Mg"],
  "fractional_positions": [[0.3285, 0.2500, 0.0883], [0.8285, 0.2500, 0.4117], [0.6715, 0.7500, 0.9117], [0.1715, 0.7500, 0.5883], [0.4395, 0.2500, 0.4007], [0.5605, 0.7500, 0.5993], [0.9395, 0.2500, 0.0993], [0.0605, 0.7500, 0.9007], [0.3543, 0.2500, 0.7946], [0.6457, 0.7500, 0.2054], [0.8543, 0.2500, 0.7054], [0.1457, 0.7500, 0.2946]]
}